No. 1
{
  "formula": "Nd3DyY8",
  "functional": "PBE",
  "state": "optimized geometry",
  "volume_a3_per_fu": 441.17,
  "cell": [[7.624, -0.455, -3.598], [-4.448, 7.070, -1.230], [-0.286, 0.455, 8.425]],
  "species": ["Y", "Y", "Y", "Y", "Y", "Y", "Y", "Y", "Nd", "Nd", "Nd", "Dy"],
  "frac_coords": [[0.490, 0.235, 0.235], [0.252, 0.372, 0.372], [0.000, 0.628, 0.880], [0.510, 0.745, 0.745], [0.000, 0.255, 0.765], [0.748, 0.120, 0.120], [0.000, 0.765, 0.255], [0.000, 0.880, 0.628], [0.500, 0.250, 0.750], [0.000, 0.500, 0.500], [0.500, 0.750, 0.250], [0.000, 0.000, 0.000]]
}

***

No. 2
{
  "formula": "Rb2Pb17",
  "functional": "PBE",
  "state": "optimized geometry",
  "volume_a3_per_fu": 669.63,
  "cell": [[8.832, 0.003, 0.003], [1.255, 8.742, 0.003], [1.255, 1.088, 8.674]],
  "species": ["Pb", "Pb", "Pb", "Pb", "Pb", "Pb", "Pb", "Pb", "Pb", "Pb", "Pb", "Pb", "Pb", "Pb", "Pb", "Pb", "Pb", "Rb", "Rb"],
  "frac_coords": [[0.500, 0.000, 0.000], [0.000, 0.705, 0.295], [0.847, 0.348, 0.348], [0.652, 0.153, 0.652], [0.348, 0.348, 0.847], [0.903, 0.903, 0.903], [0.000, 0.295, 0.705], [0.153, 0.652, 0.652], [0.097, 0.097, 0.097], [0.705, 0.000, 0.295], [0.000, 0.500, 0.000], [0.652, 0.652, 0.153], [0.000, 0.000, 0.500], [0.705, 0.295, 0.000], [0.295, 0.705, 0.000], [0.295, 0.000, 0.705], [0.348, 0.847, 0.348], [0.660, 0.660, 0.660], [0.340, 0.340, 0.340]]
}

***

No. 3
{
  "formula": "PuZnTcPd",
  "functional": "PBE",
  "state": "optimized geometry",
  "volume_a3_per_fu": 68.62,
  "cell": [[-4.145, -1.480, -1.321], [-2.572, -2.497, 2.875], [-3.789, 1.816, 1.860]],
  "species": ["Zn", "Pd", "Pu", "Tc"],
  "frac_coords": [[0.500, 0.500, 0.500], [0.750, 0.750, 0.750], [0.000, 0.000, 0.000], [0.250, 0.250, 0.250]]
}

***

no.,density of states at the Fermi level (states/eV/atom),energy of formation from the pure elements (eV/atom),E_tot (eV/atom)
1,1.64,0.6275,-5.257
2,0.49,-0.0428,-3.463
3,0.85,-0.1477,-7.939